Entry 1:
The following is a GGA-PBE calculation of V3GaMo after structural relaxation, from Alexandria via LeMat-Bulk.

Cell: 4.424 4.424 4.424 Å, 90.00 90.00 90.00°
Space group Pm-3m (No. 221)
Inequivalent atoms, fractional coordinates:
V 0.000 0.000 0.500 (multiplicity 3)
Ga 0.000 0.000 0.000 (multiplicity 1)
Mo 0.500 0.500 0.500 (multiplicity 1)

Crystal system: cubic
Energy in eV per atom: -6.926

=====

Entry 2:
The following is a GGA-PBE calculation of V2GaMo3 after structural relaxation, from Alexandria via LeMat-Bulk.

Cell: 4.406 6.891 6.980 Å, 65.80 71.60 71.41°
Space group P-1 (No. 2)
Inequivalent atoms, fractional coordinates:
V 0.039 0.134 0.289 (multiplicity 2)
V 0.289 0.867 0.054 (multiplicity 2)
Ga 0.373 0.113 0.641 (multiplicity 2)
Mo 0.124 0.372 0.880 (multiplicity 2)
Mo 0.207 0.623 0.462 (multiplicity 2)
Mo 0.463 0.367 0.208 (multiplicity 2)

Crystal system: triclinic
Energy in eV per atom: -9.057

=====

Entry 3:
The following is a GGA-PBE calculation of VGa2Mo2 after structural relaxation, from Alexandria via LeMat-Bulk.

Cell: 6.638 6.638 3.430 Å, 90.00 90.00 90.00°
Space group P4/mbm (No. 127)
Inequivalent atoms, fractional coordinates:
V 0.000 0.000 0.000 (multiplicity 2)
Ga 0.131 0.369 0.000 (multiplicity 4)
Mo 0.172 0.672 0.500 (multiplicity 4)

Crystal system: tetragonal
Energy in eV per atom: -7.397

=====

Entry 4:
The following is a GGA-PBE calculation of V3Ga2Mo2 after structural relaxation, from Alexandria via LeMat-Bulk.

Cell: 9.668 3.226 6.654 Å, 90.00 99.99 90.00°
Space group C2/m (No. 12)
Inequivalent atoms, fractional coordinates:
V 0.000 0.000 0.000 (multiplicity 2)
V 0.216 0.500 0.144 (multiplicity 4)
Ga 0.138 0.000 0.416 (multiplicity 4)
Mo 0.084 0.500 0.723 (multiplicity 4)

Crystal system: monoclinic
Energy in eV per atom: -7.987

=====

Entry 5:
The following is a GGA-PBE calculation of VGa3Mo after structural relaxation, from Alexandria via LeMat-Bulk.

Cell: 9.231 5.331 7.384 Å, 90.00 114.56 90.00°
Space group C2/m (No. 12)
Inequivalent atoms, fractional coordinates:
V 0.162 0.000 0.491 (multiplicity 4)
Ga 0.105 0.000 0.810 (multiplicity 4)
Ga 0.148 0.253 0.191 (multiplicity 8)
Mo 0.117 0.500 0.850 (multiplicity 4)

Crystal system: monoclinic
Energy in eV per atom: -5.575

=====

Entry 6:
The following is a GGA-PBE calculation of V3Ga2Mo2 after structural relaxation, from Alexandria via LeMat-Bulk.

Cell: 7.592 4.375 6.641 Å, 90.00 112.27 90.00°
Space group C2/m (No. 12)
Inequivalent atoms, fractional coordinates:
V 0.000 0.000 0.000 (multiplicity 2)
V 0.148 0.000 0.444 (multiplicity 4)
Ga 0.071 0.500 0.715 (multiplicity 4)
Mo 0.216 0.500 0.147 (multiplicity 4)

Crystal system: monoclinic
Energy in eV per atom: -7.929

=====

Entry 7:
The following is a GGA-PBE calculation of V4GaMo after structural relaxation, from Alexandria via LeMat-Bulk.

Cell: 9.472 3.152 5.903 Å, 90.00 106.43 90.00°
Space group C2/m (No. 12)
Inequivalent atoms, fractional coordinates:
V 0.164 0.000 0.333 (multiplicity 4)
V 0.175 0.000 0.826 (multiplicity 4)
Ga 0.000 0.500 0.000 (multiplicity 2)
Mo 0.000 0.500 0.500 (multiplicity 2)

Crystal system: monoclinic
Energy in eV per atom: -8.499

=====

Entry 8:
The following is a GGA-PBE calculation of V6Ga2Mo after structural relaxation, from Alexandria via LeMat-Bulk.

Cell: 6.394 13.325 3.098 Å, 90.00 102.86 90.00°
Space group C2/m (No. 12)
Inequivalent atoms, fractional coordinates:
V 0.154 0.162 0.324 (multiplicity 8)
V 0.168 0.000 0.831 (multiplicity 4)
Ga 0.000 0.338 0.000 (multiplicity 4)
Mo 0.000 0.500 0.500 (multiplicity 2)

Crystal system: monoclinic
Energy in eV per atom: -7.961

=====

Entry 9:
The following is a GGA-PBE calculation of V6Ga10Mo after structural relaxation, from Alexandria via LeMat-Bulk.

Cell: 7.5822 7.5822 5.1505 Å, 90.00 90.00 120.00°
Space group P-31m (No. 162)
Inequivalent atoms, fractional coordinates:
V 0.0000 0.3789 0.3166 (multiplicity 6)
Ga 0.0000 0.2719 0.8176 (multiplicity 6)
Ga 0.3333 0.6667 0.0000 (multiplicity 2)
Ga 0.3333 0.6667 0.5000 (multiplicity 2)
Mo 0.0000 0.0000 0.5000 (multiplicity 1)

Crystal system: trigonal
Energy in eV per atom: -5.617

=====

Entry 10:
The following is a GGA-PBE calculation of V4GaMo after structural relaxation, from Alexandria via LeMat-Bulk.

Cell: 6.977 6.977 6.977 Å, 90.00 90.00 90.00°
Space group F-43m (No. 216)
Inequivalent atoms, fractional coordinates:
V 0.124 0.124 0.124 (multiplicity 16)
Ga 0.000 0.000 0.500 (multiplicity 4)
Mo 0.250 0.250 0.750 (multiplicity 4)

Crystal system: cubic
Energy in eV per atom: -8.350

=====

Entry 11:
The following is a GGA-PBE calculation of V5Ga5Mo after structural relaxation, from Alexandria via LeMat-Bulk.

Cell: 4.608 5.401 13.991 Å, 90.00 90.00 90.00°
Space group Immm (No. 71)
Inequivalent atoms, fractional coordinates:
V 0.000 0.000 0.000 (multiplicity 2)
V 0.000 0.239 0.339 (multiplicity 8)
Ga 0.000 0.000 0.179 (multiplicity 4)
Ga 0.000 0.000 0.500 (multiplicity 2)
Ga 0.000 0.500 0.157 (multiplicity 4)
Mo 0.000 0.500 0.500 (multiplicity 2)

Crystal system: orthorhombic
Energy in eV per atom: -6.370